Material: Sb2AsBr
Method: DFT, PBE
State: relaxed

Output
Magnetization (μB/atom): 0.00
Formation energy (no corrections) (meV/atom): 232
VASP energy (eV per atom): -3.410

Geometry as CIF:
```
data_Sb2AsBr
_cell_length_a 6.171
_cell_length_b 8.384
_cell_length_c 5.313
_cell_angle_alpha 90.00
_cell_angle_beta 125.38
_cell_angle_gamma 90.00
_symmetry_space_group_name_H-M 'C 1 2/m 1'
_symmetry_Int_Tables_number 12
_symmetry_space_group_name_Hall '-C 2y'
loop_
_atom_site_label
_atom_site_type_symbol
_atom_site_fract_x
_atom_site_fract_y
_atom_site_fract_z
Sb1 Sb 0.250 0.250 0.000
As1 As 0.000 0.000 0.500
Br1 Br 0.000 0.500 0.500
```